1.
# LiMgPd, optimized geometry, DFT PBE-GGA
# calculated volume = 17.384 Å³ per atom
# total energy = -0.1204 Ha/atom
data_LiMgPd
_chemical_formula_sum 'Li4 Mg4 Pd4'
_cell_length_a 11.227
_cell_length_b 2.948
_cell_length_c 7.522
_cell_angle_alpha 90.00
_cell_angle_beta 123.09
_cell_angle_gamma 90.00
_symmetry_space_group_name_H-M 'C 1 2/m 1'
_symmetry_Int_Tables_number 12
_symmetry_space_group_name_Hall '-C 2y'
loop_
_atom_site_label
_atom_site_fract_x
_atom_site_fract_y
_atom_site_fract_z
_atom_site_occupancy
Li1 0.141 0.000 0.177 1
Mg1 0.083 0.500 0.765 1
Pd1 0.146 0.000 0.521 1

2.
# Li12MgPd6, optimized geometry, DFT PBE-GGA
# calculated volume = 16.005 Å³ per atom
# total energy = -0.1198 Ha/atom
data_Li12MgPd6
_chemical_formula_sum 'Li36 Mg3 Pd18'
_cell_length_a 9.4878
_cell_length_b 9.4878
_cell_length_c 11.7025
_cell_angle_alpha 90.00
_cell_angle_beta 90.00
_cell_angle_gamma 120.00
_symmetry_space_group_name_H-M 'R -3'
_symmetry_Int_Tables_number 148
_symmetry_space_group_name_Hall '-R 3'
loop_
_atom_site_label
_atom_site_fract_x
_atom_site_fract_y
_atom_site_fract_z
_atom_site_occupancy
Li1 0.0371 0.8346 0.3123 1
Li2 0.0653 0.2292 0.9159 1
Mg1 0.0000 0.0000 0.5000 1
Pd1 0.0220 0.5820 0.2039 1

3.
# Li6MgPd3, optimized geometry, DFT PBE-GGA
# calculated volume = 15.477 Å³ per atom
# total energy = -0.1155 Ha/atom
data_Li6MgPd3
_chemical_formula_sum 'Li24 Mg4 Pd12'
_cell_length_a 8.651
_cell_length_b 14.650
_cell_length_c 4.885
_cell_angle_alpha 90.00
_cell_angle_beta 90.00
_cell_angle_gamma 90.00
_symmetry_space_group_name_H-M 'C m c 21'
_symmetry_Int_Tables_number 36
_symmetry_space_group_name_Hall 'C 2c -2'
loop_
_atom_site_label
_atom_site_fract_x
_atom_site_fract_y
_atom_site_fract_z
_atom_site_occupancy
Li1 0.000 0.006 0.000 1
Li2 0.000 0.288 0.179 1
Li3 0.177 0.452 0.256 1
Li4 0.229 0.269 0.468 1
Mg1 0.000 0.169 0.728 1
Pd1 0.000 0.364 0.710 1
Pd2 0.168 0.116 0.270 1

4.
# LiMgPd4, optimized geometry, DFT PBE-GGA
# calculated volume = 15.267 Å³ per atom
# total energy = -0.1639 Ha/atom
data_LiMgPd4
_chemical_formula_sum 'Li2 Mg2 Pd8'
_cell_length_a 8.917
_cell_length_b 3.841
_cell_length_c 5.643
_cell_angle_alpha 90.00
_cell_angle_beta 108.59
_cell_angle_gamma 90.00
_symmetry_space_group_name_H-M 'C 1 2/m 1'
_symmetry_Int_Tables_number 12
_symmetry_space_group_name_Hall '-C 2y'
loop_
_atom_site_label
_atom_site_fract_x
_atom_site_fract_y
_atom_site_fract_z
_atom_site_occupancy
Li1 0.000 0.000 0.000 1
Mg1 0.000 0.000 0.500 1
Pd1 0.162 0.500 0.328 1
Pd2 0.165 0.500 0.835 1

5.
# LiMg6Pd2, optimized geometry, DFT PBE-GGA
# calculated volume = 18.105 Å³ per atom
# total energy = -0.1033 Ha/atom
data_LiMg6Pd2
_chemical_formula_sum 'Li1 Mg6 Pd2'
_cell_length_a 4.6647
_cell_length_b 4.6647
_cell_length_c 8.6472
_cell_angle_alpha 90.00
_cell_angle_beta 90.00
_cell_angle_gamma 120.00
_symmetry_space_group_name_H-M 'P -3 m 1'
_symmetry_Int_Tables_number 164
_symmetry_space_group_name_Hall '-P 3 2"'
loop_
_atom_site_label
_atom_site_fract_x
_atom_site_fract_y
_atom_site_fract_z
_atom_site_occupancy
Li1 0.0000 0.0000 0.0000 1
Mg1 0.0000 0.0000 0.3092 1
Mg2 0.3333 0.6667 0.0974 1
Mg3 0.3333 0.6667 0.4431 1
Pd1 0.3333 0.6667 0.7685 1

6.
# Li3Mg2Pd3, optimized geometry, DFT PBE-GGA
# calculated volume = 15.383 Å³ per atom
# total energy = -0.1312 Ha/atom
data_Li3Mg2Pd3
_chemical_formula_sum 'Li9 Mg6 Pd9'
_cell_length_a 4.4266
_cell_length_b 4.4266
_cell_length_c 21.7557
_cell_angle_alpha 90.00
_cell_angle_beta 90.00
_cell_angle_gamma 120.00
_symmetry_space_group_name_H-M 'R 3 m'
_symmetry_Int_Tables_number 160
_symmetry_space_group_name_Hall 'R 3 -2"'
loop_
_atom_site_label
_atom_site_fract_x
_atom_site_fract_y
_atom_site_fract_z
_atom_site_occupancy
Li1 0.0000 0.0000 0.0000 1
Li2 0.0000 0.0000 0.1291 1
Li3 0.0000 0.0000 0.5057 1
Mg1 0.0000 0.0000 0.2561 1
Mg2 0.0000 0.0000 0.7500 1
Pd1 0.0000 0.0000 0.3793 1
Pd2 0.0000 0.0000 0.6274 1
Pd3 0.0000 0.0000 0.8766 1

7.
# LiMgPd3, optimized geometry, DFT PBE-GGA
# calculated volume = 15.625 Å³ per atom
# total energy = -0.1565 Ha/atom
data_LiMgPd3
_chemical_formula_sum 'Li4 Mg4 Pd12'
_cell_length_a 6.664
_cell_length_b 5.398
_cell_length_c 8.991
_cell_angle_alpha 90.00
_cell_angle_beta 104.94
_cell_angle_gamma 90.00
_symmetry_space_group_name_H-M 'P 1 21/c 1'
_symmetry_Int_Tables_number 14
_symmetry_space_group_name_Hall '-P 2ybc'
loop_
_atom_site_label
_atom_site_fract_x
_atom_site_fract_y
_atom_site_fract_z
_atom_site_occupancy
Li1 0.175 0.145 0.064 1
Mg1 0.380 0.659 0.344 1
Pd1 0.004 0.090 0.760 1
Pd2 0.187 0.638 0.049 1
Pd3 0.385 0.160 0.373 1

8.
# LiMg3Pd, optimized geometry, DFT PBE-GGA
# calculated volume = 25.373 Å³ per atom
# total energy = -0.0929 Ha/atom
data_LiMg3Pd
_chemical_formula_sum 'Li1 Mg3 Pd1'
_cell_length_a 5.025
_cell_length_b 5.025
_cell_length_c 5.025
_cell_angle_alpha 90.00
_cell_angle_beta 90.00
_cell_angle_gamma 90.00
_symmetry_space_group_name_H-M 'P m -3 m'
_symmetry_Int_Tables_number 221
_symmetry_space_group_name_Hall '-P 4 2 3'
loop_
_atom_site_label
_atom_site_fract_x
_atom_site_fract_y
_atom_site_fract_z
_atom_site_occupancy
Li1 0.000 0.000 0.000 1
Mg1 0.000 0.500 0.500 1
Pd1 0.500 0.500 0.500 1

9.
# LiMgPd5, optimized geometry, DFT PBE-GGA
# calculated volume = 16.732 Å³ per atom
# total energy = -0.1641 Ha/atom
data_LiMgPd5
_chemical_formula_sum 'Li2 Mg2 Pd10'
_cell_length_a 5.398
_cell_length_b 7.954
_cell_length_c 5.455
_cell_angle_alpha 90.00
_cell_angle_beta 90.00
_cell_angle_gamma 90.00
_symmetry_space_group_name_H-M 'C m m m'
_symmetry_Int_Tables_number 65
_symmetry_space_group_name_Hall '-C 2 2'
loop_
_atom_site_label
_atom_site_fract_x
_atom_site_fract_y
_atom_site_fract_z
_atom_site_occupancy
Li1 0.000 0.000 0.000 1
Mg1 0.000 0.500 0.500 1
Pd1 0.000 0.500 0.000 1
Pd2 0.250 0.250 0.252 1

10.
# LiMg2Pd2, optimized geometry, DFT PBE-GGA
# calculated volume = 17.199 Å³ per atom
# total energy = -0.1338 Ha/atom
data_LiMg2Pd2
_chemical_formula_sum 'Li2 Mg4 Pd4'
_cell_length_a 8.469
_cell_length_b 5.709
_cell_length_c 4.039
_cell_angle_alpha 90.00
_cell_angle_beta 118.27
_cell_angle_gamma 90.00
_symmetry_space_group_name_H-M 'C 1 2/m 1'
_symmetry_Int_Tables_number 12
_symmetry_space_group_name_Hall '-C 2y'
loop_
_atom_site_label
_atom_site_fract_x
_atom_site_fract_y
_atom_site_fract_z
_atom_site_occupancy
Li1 0.000 0.000 0.000 1
Mg1 0.199 0.500 0.197 1
Pd1 0.000 0.265 0.500 1

11.
# Li2Pr2MgPd5, optimized geometry, DFT PBE-GGA
# calculated volume = 17.986 Å³ per atom
# total energy = -0.1733 Ha/atom
data_Li2Pr2MgPd5
_chemical_formula_sum 'Li4 Pr4 Mg2 Pd10'
_cell_length_a 9.788
_cell_length_b 9.788
_cell_length_c 3.755
_cell_angle_alpha 90.00
_cell_angle_beta 90.00
_cell_angle_gamma 90.00
_symmetry_space_group_name_H-M 'P 4/m b m'
_symmetry_Int_Tables_number 127
_symmetry_space_group_name_Hall '-P 4 2ab'
loop_
_atom_site_label
_atom_site_fract_x
_atom_site_fract_y
_atom_site_fract_z
_atom_site_occupancy
Li1 0.119 0.381 0.000 1
Pr1 0.179 0.679 0.000 1
Mg1 0.000 0.000 0.000 1
Pd1 0.000 0.500 0.500 1
Pd2 0.064 0.208 0.500 1

12.
# LiPrMgPd, optimized geometry, DFT PBE-GGA
# calculated volume = 21.466 Å³ per atom
# total energy = -0.1378 Ha/atom
data_LiPrMgPd
_chemical_formula_sum 'Li4 Pr4 Mg4 Pd4'
_cell_length_a 7.003
_cell_length_b 7.003
_cell_length_c 7.003
_cell_angle_alpha 90.00
_cell_angle_beta 90.00
_cell_angle_gamma 90.00
_symmetry_space_group_name_H-M 'F -4 3 m'
_symmetry_Int_Tables_number 216
_symmetry_space_group_name_Hall 'F -4 2 3'
loop_
_atom_site_label
_atom_site_fract_x
_atom_site_fract_y
_atom_site_fract_z
_atom_site_occupancy
Li1 0.000 0.000 0.000 1
Pr1 0.250 0.250 0.250 1
Mg1 0.250 0.250 0.750 1
Pd1 0.000 0.000 0.500 1